Entry 1:
Nd3AlAg: relaxed, PBE.

Cell and atoms, written as CIF:
```
data_Nd3AlAg
_chemical_formula_sum 'Nd24 Al8 Ag8'
_cell_length_a 15.298
_cell_length_b 7.427
_cell_length_c 10.234
_cell_angle_alpha 90.00
_cell_angle_beta 91.64
_cell_angle_gamma 90.00
_space_group_name_H-M_alt 'C 1 2/c 1'
_space_group_IT_number 15
loop_
_space_group_symop_operation_xyz
'x,y,z'
'-x,-y,-z'
'-x,y,-z+1/2'
'x,-y,z+1/2'
'x+1/2,y+1/2,z'
'-x+1/2,-y+1/2,-z'
'-x+1/2,y+1/2,-z+1/2'
'x+1/2,-y+1/2,z+1/2'
loop_
_atom_site_label
_atom_site_type_symbol
_atom_site_fract_x
_atom_site_fract_y
_atom_site_fract_z
Nd1 Nd 0.046 0.184 0.078
Nd2 Nd 0.119 0.491 0.844
Nd3 Nd 0.193 0.052 0.330
Al1 Al 0.133 0.232 0.591
Ag1 Ag 0.000 0.154 0.750
Ag2 Ag 0.250 0.250 0.000
```

* total magnetization: 0.000 μB per cell
* distance to the lowest polymorph of the same formula: 9.8 kJ per mole of atoms
* volume: 29.1 A^3/atom
* electronic total energy: -4.288 eV/atom
* crystal system: monoclinic


Entry 2:
Nd5Al4Ag: relaxed, PBE.

Cell and atoms, written as CIF:
```
data_Nd5Al4Ag
_chemical_formula_sum 'Nd5 Al4 Ag1'
_cell_length_a 3.694
_cell_length_b 3.694
_cell_length_c 19.077
_cell_angle_alpha 90.00
_cell_angle_beta 90.00
_cell_angle_gamma 90.00
_space_group_name_H-M_alt 'P 4/m m m'
_space_group_IT_number 123
_space_group_name_Hall '-P 4 2'
loop_
_atom_site_label
_atom_site_type_symbol
_atom_site_fract_x
_atom_site_fract_y
_atom_site_fract_z
Nd1 Nd 0.000 0.000 0.000
Nd2 Nd 0.000 0.000 0.197
Nd3 Nd 0.000 0.000 0.396
Al1 Al 0.500 0.500 0.099
Al2 Al 0.500 0.500 0.299
Ag1 Ag 0.500 0.500 0.500
```

* total magnetization: 0.000 μB per cell
* volume: 26.0 A^3/atom
* electronic total energy: -4.501 eV/atom
* crystal system: tetragonal


Entry 3:
Nd2Al9Ag6: relaxed, PBE.

Cell and atoms, written as CIF:
```
data_Nd2Al9Ag6
_chemical_formula_sum 'Nd2 Al9 Ag6'
_cell_length_a 5.5232
_cell_length_b 5.5232
_cell_length_c 13.3005
_cell_angle_alpha 90.00
_cell_angle_beta 90.00
_cell_angle_gamma 120.00
_space_group_name_H-M_alt 'P 6/m m m'
_space_group_IT_number 191
_space_group_name_Hall '-P 6 2'
loop_
_atom_site_label
_atom_site_type_symbol
_atom_site_fract_x
_atom_site_fract_y
_atom_site_fract_z
Nd1 Nd 0.0000 0.0000 0.1631
Al1 Al 0.0000 0.5000 0.0000
Al2 Al 0.0000 0.5000 0.3356
Ag1 Ag 0.3333 0.6667 0.1670
Ag2 Ag 0.3333 0.6667 0.5000
```

* total magnetization: 0.000 μB per cell
* volume: 20.7 A^3/atom
* electronic total energy: -3.726 eV/atom
* crystal system: hexagonal


Entry 4:
Nd3Al3Ag8: relaxed, PBE.

Cell and atoms, written as CIF:
```
data_Nd3Al3Ag8
_chemical_formula_sum 'Nd6 Al6 Ag16'
_cell_length_a 4.596
_cell_length_b 10.009
_cell_length_c 13.012
_cell_angle_alpha 90.00
_cell_angle_beta 90.00
_cell_angle_gamma 90.00
_space_group_name_H-M_alt 'I m m m'
_space_group_IT_number 71
_space_group_name_Hall '-I 2 2'
loop_
_atom_site_label
_atom_site_type_symbol
_atom_site_fract_x
_atom_site_fract_y
_atom_site_fract_z
Nd1 Nd 0.000 0.000 0.000
Nd2 Nd 0.000 0.000 0.303
Al1 Al 0.000 0.196 0.500
Al2 Al 0.000 0.500 0.000
Ag1 Ag 0.000 0.290 0.123
Ag2 Ag 0.000 0.361 0.339
```

* total magnetization: 0.000 μB per cell
* volume: 21.4 A^3/atom
* electronic total energy: -3.703 eV/atom
* crystal system: orthorhombic